Material: HgP2WO8
Method: DFT, PBE with a Hubbard U
State: relaxed

Unit cell a=5.132 b=5.132 c=7.769 alpha=99.04 beta=99.04 gamma=63.08
Fractional positions:
O1 0.233 0.233 0.596
O2 0.767 0.767 0.404
O3 0.785 0.785 0.075
O4 0.215 0.215 0.925
O5 0.806 0.338 0.189
O6 0.662 0.194 0.811
O7 0.338 0.806 0.189
O8 0.194 0.662 0.811
P1 0.680 0.680 0.210
P2 0.320 0.320 0.790
Hg1 0.000 0.000 0.500
W1 0.000 0.000 0.000

total magnetic moment = 2.00 μB/cell
SG = No. 12
energy = -80.71 eV/f.u.